This record from Alexandria via LeMat-Bulk describes crystalline Sc8AlRh2 at its relaxed geometry. The functional is GGA-PBE.

Cell and atoms, written as CIF:
```
data_Sc8AlRh2
_chemical_formula_sum 'Sc8 Al1 Rh2'
_cell_length_a 4.8380
_cell_length_b 6.4826
_cell_length_c 8.4080
_cell_angle_alpha 112.68
_cell_angle_beta 106.72
_cell_angle_gamma 90.00
_space_group_name_H-M_alt 'P 1'
_space_group_IT_number 1
loop_
_space_group_symop_operation_xyz
'x,y,z'
loop_
_atom_site_label
_atom_site_type_symbol
_atom_site_fract_x
_atom_site_fract_y
_atom_site_fract_z
Sc1 Sc 0.9694 0.0160 0.5751
Sc2 Sc 0.3034 0.3499 0.2430
Sc3 Sc 0.7453 0.9406 0.1269
Sc4 Sc 0.9275 0.4387 0.4914
Rh1 Rh 0.4667 0.2760 0.5697
Sc5 Sc 0.5274 0.7229 0.6914
Rh2 Rh 0.8059 0.6154 0.2485
Sc6 Sc 0.1364 0.5446 0.9090
Sc7 Sc 0.3452 0.8564 0.3268
Al1 Al 0.1363 0.9718 0.9091
Sc8 Sc 0.6364 0.2677 0.9091
```

## Properties
Energy of formation from the pure elements, eV per atom: -0.450
Space-group type: Imm2 (44)
Total energy, eV/atom: -6.731